This record from Alexandria describes a relaxed structure of Lu2CrOs. The functional is PBE.

a b c (Å): 6.7819 6.7819 6.7819
angles (deg): 90.00 90.00 90.00
Element x y z (fractional)
1 Lu 0.2500 0.2500 0.2500
2 Lu 0.2500 0.2500 0.7500
3 Lu 0.2500 0.7500 0.2500
4 Lu 0.2500 0.7500 0.7500
5 Lu 0.7500 0.2500 0.2500
6 Lu 0.7500 0.2500 0.7500
7 Lu 0.7500 0.7500 0.2500
8 Lu 0.7500 0.7500 0.7500
9 Cr 0.0000 0.0000 0.0000
10 Cr 0.0000 0.5000 0.5000
11 Cr 0.5000 0.0000 0.5000
12 Cr 0.5000 0.5000 0.0000
13 Os 0.0000 0.0000 0.5000
14 Os 0.0000 0.5000 0.0000
15 Os 0.5000 0.0000 0.0000
16 Os 0.5000 0.5000 0.5000

- Energy of formation from the pure elements: -5.7 kJ per mole of atoms
- Density of states at the Fermi level: 2.79 states/eV/f.u.
- Energy: -7.53 eV per atom